A crystal of ScHg5 relaxed with PBEsol, computed with meta-GGA SCAN.

## Properties
Fermi-level density of states	2.9	states/eV/f.u.

Lattice parameters (Å, degrees): 3.703 3.703 9.571 90.00 90.00 90.00
Positions (direct):
Sc: 0.000 0.000 0.000
Hg: 0.000 0.000 0.327
Hg: 0.000 0.000 0.673
Hg: 0.500 0.500 0.161
Hg: 0.500 0.500 0.500
Hg: 0.500 0.500 0.839

***

A crystal of Sc3Hg relaxed with PBEsol, computed with meta-GGA SCAN.

## Properties
Fermi-level density of states	2.9	states/eV/f.u.

Lattice parameters (Å, degrees): 3.552 4.793 10.294 90.00 90.00 90.00
Positions (direct):
Sc: 0.000 0.000 0.000
Sc: 0.000 0.500 0.228
Sc: 0.000 0.500 0.772
Sc: 0.500 0.000 0.272
Sc: 0.500 0.000 0.728
Sc: 0.500 0.500 0.500
Hg: 0.000 0.000 0.500
Hg: 0.500 0.500 0.000

***

For the records above, the corresponding formation energy from the elements values read -0.169, -0.373 eV per atom.